No. 1
TbLuSc2 | the Alexandria database | GGA-PBE | relaxed; magnetic moment = 0.00 μB per formula unit; formation enthalpy at 0 K = 0.0576 eV per atom; crystal system = trigonal; density = 6.42 g/cm³; excess energy over the best structure of this formula in the dataset = 4 meV/atom
1.0
1.701 0.982 10.931
-1.701 0.982 10.931
0.000 -1.964 10.931
Tb Lu Sc
1 1 2
direct
0.000 0.000 0.000
0.500 0.500 0.500
0.249 0.249 0.249
0.751 0.751 0.751

***

No. 2
Zr2TlTe | the Alexandria database | GGA-PBE | relaxed; magnetic moment = 0.00 μB per formula unit; crystal system = trigonal; density = 8.10 g/cm³; excess energy over the best structure of this formula in the dataset = 194 meV/atom
1.0
1.755 1.013 9.882
-1.755 1.013 9.882
0.000 -2.026 9.882
Zr Tl Te
2 1 1
direct
0.000 0.000 0.000
0.254 0.254 0.254
0.503 0.503 0.503
0.738 0.738 0.738

***

No. 3
Th2AlOs | the Alexandria database | GGA-PBE | relaxed; magnetic moment = 0.00 μB per formula unit; formation enthalpy at 0 K = -0.3673 eV per atom; crystal system = monoclinic; density = 11.20 g/cm³
1.0
6.206 0.000 0.000
0.000 3.921 0.000
-2.857 0.000 8.306
Th Al Os
4 2 2
direct
0.189 0.250 0.402
0.272 0.750 0.052
0.728 0.250 0.948
0.811 0.750 0.598
0.348 0.750 0.710
0.652 0.250 0.290
0.114 0.250 0.797
0.886 0.750 0.203

***

No. 4
FeSn2Mo | the Alexandria database | GGA-PBE | relaxed; magnetic moment = 3.38 μB per formula unit; formation enthalpy at 0 K = 0.7271 eV per atom; crystal system = tetragonal; density = 8.22 g/cm³; excess energy over the best structure of this formula in the dataset = 325 meV/atom
1.0
-3.648 3.648 2.953
3.648 -3.648 2.953
3.648 3.648 -2.953
Fe Sn Mo
2 4 2
direct
0.000 0.000 0.000
0.750 0.250 0.500
0.102 0.125 0.477
0.375 0.898 0.023
0.648 0.625 0.523
0.875 0.352 0.977
0.250 0.750 0.500
0.500 0.500 0.000

***

No. 5
Er6CuSe2S3 | the Alexandria database | GGA-PBE | relaxed; magnetic moment = 0.00 μB per formula unit; crystal system = monoclinic; density = 8.39 g/cm³
1.0
3.432 -5.941 0.000
3.432 5.941 0.000
-2.297 0.000 6.412
Er Cu Se S
6 1 2 3
direct
0.084 0.406 0.754
0.235 0.235 0.241
0.406 0.084 0.754
0.594 0.916 0.246
0.765 0.765 0.759
0.916 0.594 0.246
0.000 0.000 0.500
0.335 0.665 0.500
0.665 0.335 0.500
0.174 0.826 0.000
0.500 0.500 0.000
0.826 0.174 0.000

***

No. 6
Y2CuP | the Alexandria database | GGA-PBE | relaxed; magnetic moment = 0.67 μB per formula unit; formation enthalpy at 0 K = -0.7216 eV per atom; crystal system = orthorhombic; density = 4.87 g/cm³
1.0
4.040 0.000 0.000
0.000 5.692 0.000
0.000 0.000 4.041
Y Cu P
2 1 1
direct
0.000 0.000 0.000
0.500 0.500 0.499
0.500 0.000 0.500
0.000 0.500 0.999

***

No. 7
SrBeFe4 | the Alexandria database | GGA-PBE | relaxed; magnetic moment = 9.39 μB per formula unit; formation enthalpy at 0 K = 0.5415 eV per atom; crystal system = cubic; density = 5.86 g/cm³
1.0
0.000 3.565 3.565
3.565 0.000 3.565
3.565 3.565 0.000
Sr Be Fe
1 1 4
direct
0.000 0.000 0.000
0.750 0.750 0.750
0.377 0.377 0.377
0.377 0.377 0.870
0.377 0.870 0.377
0.870 0.377 0.377

***

No. 8
MgMnCr2 | the Alexandria database | GGA-PBE | relaxed; magnetic moment = 1.09 μB per formula unit; formation enthalpy at 0 K = 0.4483 eV per atom; crystal system = monoclinic; density = 5.89 g/cm³
1.0
2.526 -4.260 0.000
2.526 4.260 0.000
-0.756 0.000 2.400
Mg Mn Cr
1 1 2
direct
0.000 0.000 0.000
0.500 0.500 0.000
0.000 0.500 0.500
0.500 0.000 0.500

***

No. 9
Ac2Ga6Au3 | the Alexandria database | GGA-PBE | relaxed; magnetic moment = 0.00 μB per formula unit; formation enthalpy at 0 K = -0.5702 eV per atom; crystal system = hexagonal; density = 9.83 g/cm³
1.0
8.122 0.000 0.000
-4.061 7.034 0.000
0.000 0.000 4.326
Ac Ga Au
2 6 3
direct
0.333 0.667 0.000
0.667 0.333 0.000
0.000 0.306 0.500
0.000 0.816 0.000
0.184 0.184 0.000
0.306 0.000 0.500
0.694 0.694 0.500
0.816 0.000 0.000
0.000 0.635 0.500
0.365 0.365 0.500
0.635 0.000 0.500

***

No. 10
Sc6TcHg5 | the Alexandria database | GGA-PBE | relaxed; magnetic moment = 0.00 μB per formula unit; formation enthalpy at 0 K = -0.4109 eV per atom; crystal system = orthorhombic; density = 9.06 g/cm³
1.0
2.461 -7.353 0.000
2.461 7.353 0.000
0.000 0.000 6.942
Sc Tc Hg
6 1 5
direct
0.000 0.000 0.233
0.000 0.000 0.767
0.342 0.658 0.239
0.342 0.658 0.761
0.658 0.342 0.239
0.658 0.342 0.761
0.500 0.500 0.000
0.167 0.833 0.000
0.170 0.830 0.500
0.500 0.500 0.500
0.830 0.170 0.500
0.833 0.167 0.000

***

No. 11
Al2AgAu | the Alexandria database | GGA-PBE | relaxed; magnetic moment = 0.00 μB per formula unit; formation enthalpy at 0 K = -0.1264 eV per atom; crystal system = trigonal; density = 8.61 g/cm³
1.0
1.544 0.892 8.374
-1.544 0.892 8.374
0.000 -1.783 8.374
Al Ag Au
2 1 1
direct
0.248 0.248 0.248
0.752 0.752 0.752
0.000 0.000 0.000
0.500 0.500 0.500

***

No. 12
La2MoRu | the Alexandria database | GGA-PBE | relaxed; magnetic moment = 0.00 μB per formula unit; formation enthalpy at 0 K = 0.4155 eV per atom; crystal system = cubic; density = 9.20 g/cm³; excess energy over the best structure of this formula in the dataset = 354 meV/atom
1.0
0.000 3.500 3.500
3.500 0.000 3.500
3.500 3.500 0.000
La Mo Ru
2 1 1
direct
0.000 0.000 0.000
0.250 0.250 0.250
0.500 0.500 0.500
0.750 0.750 0.750

***

| no. | N(E_F) (states/eV/cell) | E (Ha/atom) |
| --- | --- | --- |
| 1 | 6.691 | -0.198 |
| 2 | 2.683 | -0.213 |
| 3 | 7.008 | -0.287 |
| 4 | 11.753 | -0.224 |
| 5 | 4.426 | -0.214 |
| 6 | 4.633 | -0.233 |
| 7 | 8.267 | -0.221 |
| 8 | 3.905 | -0.259 |
| 9 | 2.978 | -0.142 |
| 10 | 8.287 | -0.168 |
| 11 | 2.355 | -0.130 |
| 12 | 5.138 | -0.260 |